1.
Below is an optimized crystal structure of LuFeAs2, with properties calculated at the PBE level.

Summary:
- M_tot: 1.69 μB/f.u.
- Final energy: -5.547 eV/atom

Cell: 4.657 4.657 4.657 Å, 60.00 60.00 60.00°
Last column: magnetic moment on the atom in μB.
Element x y z (fractional)
Lu1 0.250 0.250 0.250  -0.23
Fe1 0.500 0.500 0.500  2.08
As1 0.000 0.000 0.000  0.00
As2 0.750 0.750 0.750  -0.05

2.
Below is an optimized crystal structure of LuFeMoAs, with properties calculated at the PBE level.

Summary:
- M_tot: 3.38 μB/f.u.
- Final energy: -6.735 eV/atom

Cell: 4.580 4.580 4.580 Å, 60.00 60.00 60.00°
Element x y z (fractional)
Lu1 0.250 0.250 0.250
Mo1 0.500 0.500 0.500
As1 0.000 0.000 0.000
Fe1 0.750 0.750 0.750

3.
Below is an optimized crystal structure of LuFeMoAs, with properties calculated at the PBE level.

Summary:
- M_tot: 1.96 μB/f.u.
- Final energy: -6.880 eV/atom

Cell: 4.464 4.464 4.464 Å, 60.00 60.00 60.00°
Element x y z (fractional)
As1 0.000 0.000 0.000
Lu1 0.500 0.500 0.500
Mo1 0.250 0.250 0.250
Fe1 0.750 0.750 0.750

4.
Below is an optimized crystal structure of LuNbFeAs, with properties calculated at the PBE level.

Summary:
- M_tot: 2.41 μB/f.u.
- Final energy: -6.679 eV/atom

Cell: 4.536 4.536 4.536 Å, 60.00 60.00 60.00°
Element x y z (fractional)
As1 0.000 0.000 0.000
Fe1 0.750 0.750 0.750
Nb1 0.250 0.250 0.250
Lu1 0.500 0.500 0.500

5.
Below is an optimized crystal structure of LuFeAsOs, with properties calculated at the PBE level.

Summary:
- M_tot: 0.00 μB/f.u.
- Final energy: -7.146 eV/atom

Cell: 4.416 4.416 4.416 Å, 60.00 60.00 60.00°
Element x y z (fractional)
As1 0.000 0.000 0.000
Os1 0.250 0.250 0.250
Fe1 0.750 0.750 0.750
Lu1 0.500 0.500 0.500

6.
Below is an optimized crystal structure of LuFeAsOs, with properties calculated at the PBE level.

Summary:
- M_tot: 4.08 μB/f.u.
- Final energy: -7.001 eV/atom

Cell: 4.579 4.579 4.579 Å, 60.00 60.00 60.00°
Element x y z (fractional)
As1 0.000 0.000 0.000
Os1 0.500 0.500 0.500
Fe1 0.750 0.750 0.750
Lu1 0.250 0.250 0.250